Entry 1:
Density functional theory data (PBE) for Pm2Ga3 after structural relaxation.

Values from the calculation:
**Space group**: Cmcm (63)
**Formation enthalpy at 0 K**: -656 meV/atom
**Offset from the most stable computed form**: 0 meV per atom

Cell and atoms, written as POSCAR:
```
Pm2Ga3
1.0
4.2626 0.0000 -0.7017
0.0000 4.2306 0.0000
-0.0097 0.0000 13.2396
Ga Pm
6 4
direct
0.8272 0.2500 0.6543
0.1728 0.7500 0.3457
0.0236 0.2500 0.0472
0.1181 0.2500 0.2362
0.8819 0.7500 0.7638
0.9764 0.7500 0.9528
0.7030 0.2500 0.4061
0.2970 0.7500 0.5939
0.4281 0.2500 0.8561
0.5719 0.7500 0.1439
```

=====

Entry 2:
Density functional theory data (PBE) for DyTm2Hf3N6 after structural relaxation.

Values from the calculation:
**Space group**: C2/m (12)
**Uncorrected formation energy**: -1.827 eV per atom

Cell and atoms, written as POSCAR:
```
DyTm2Hf3N6
1.0
5.6970 0.0020 -0.0003
-2.8454 4.9355 -0.0003
-0.9516 -1.6477 5.4352
Hf N Tm Dy
3 6 2 1
direct
0.1671 0.8329 0.5000
0.8329 0.1671 0.5000
0.5000 0.5000 0.5000
0.2465 0.2465 0.7294
0.4269 0.0901 0.2701
0.5731 0.9099 0.7299
0.9099 0.5731 0.7299
0.0901 0.4269 0.2701
0.7535 0.7535 0.2706
0.6668 0.3332 0.0000
0.3332 0.6668 0.0000
0.0000 0.0000 0.0000
```

=====

Entry 3:
Density functional theory data (PBE) for Sr5Tl3F12 after structural relaxation.

Values from the calculation:
**Space group**: Ia-3d (230)
**Uncorrected formation energy**: -3.058 eV per atom

Cell and atoms, written as POSCAR:
```
Sr5Tl3F12
1.0
13.4878 0.0000 0.0000
-4.4959 12.7164 0.0000
-4.4959 -6.3582 11.0127
Tl F Sr
12 48 20
direct
0.1250 0.2500 0.8750
0.2500 0.6250 0.8750
0.7500 0.3750 0.1250
0.3750 0.6250 0.2500
0.3750 0.7500 0.6250
0.8750 0.7500 0.1250
0.6250 0.2500 0.3750
0.8750 0.1250 0.2500
0.7500 0.8750 0.6250
0.1250 0.8750 0.7500
0.6250 0.3750 0.7500
0.2500 0.1250 0.3750
0.9815 0.5928 0.1772
0.4815 0.8043 0.8887
0.9072 0.0844 0.8887
0.8228 0.9072 0.0185
0.9156 0.0928 0.6113
0.3228 0.8043 0.4156
0.4072 0.0185 0.3228
0.8043 0.3228 0.9156
0.8228 0.9156 0.3043
0.1957 0.6772 0.0844
0.8887 0.5844 0.9072
0.5928 0.9815 0.6772
0.1113 0.6957 0.5185
0.3887 0.9815 0.8043
0.1772 0.0928 0.9815
0.3043 0.8887 0.9815
0.5844 0.6957 0.6772
0.6113 0.0185 0.1957
0.6957 0.5844 0.1772
0.5844 0.8887 0.4072
0.9815 0.3887 0.3043
0.1113 0.4156 0.0928
0.8887 0.3043 0.4815
0.0185 0.6113 0.6957
0.6957 0.1113 0.0185
0.3043 0.4156 0.8228
0.5185 0.1957 0.1113
0.4156 0.1113 0.5928
0.6772 0.4815 0.5928
0.4156 0.3043 0.3228
0.9156 0.8228 0.8043
0.0928 0.9156 0.1113
0.1772 0.0844 0.6957
0.0844 0.1772 0.1957
0.4815 0.6772 0.0928
0.3887 0.4072 0.0844
0.6113 0.5928 0.9156
0.1957 0.5185 0.6113
0.9072 0.8228 0.5185
0.0844 0.9072 0.3887
0.0185 0.4072 0.8228
0.5928 0.6113 0.4156
0.6772 0.1957 0.5844
0.8043 0.4815 0.3887
0.3228 0.5185 0.4072
0.0928 0.1772 0.4815
0.5185 0.3228 0.9072
0.4072 0.3887 0.5844
0.2500 0.8750 0.1250
0.6250 0.8750 0.2500
0.5000 0.0000 0.5000
0.5000 0.5000 0.0000
0.3750 0.2500 0.1250
0.6250 0.7500 0.8750
0.0000 0.5000 0.5000
0.1250 0.7500 0.3750
0.0000 0.0000 0.0000
0.2500 0.3750 0.6250
0.3750 0.1250 0.7500
0.5000 0.5000 0.5000
0.0000 0.5000 0.0000
0.0000 0.0000 0.5000
0.1250 0.3750 0.2500
0.8750 0.6250 0.7500
0.7500 0.6250 0.3750
0.5000 0.0000 0.0000
0.7500 0.1250 0.8750
0.8750 0.2500 0.6250
```

=====

Entry 4:
Density functional theory data (PBE) for Nd7Hg3 after structural relaxation.

Values from the calculation:
**Space group**: P6_3mc (186)
**Formation enthalpy at 0 K**: -243 meV/atom

Cell and atoms, written as POSCAR:
```
Nd7Hg3
1.0
-2.6678 5.4839 2.6408
-6.2875 -5.9733 6.0525
9.5247 2.9271 3.5437
Nd Hg
14 6
direct
0.6590 0.5320 0.4680
0.5721 0.3333 0.6667
0.9203 0.2523 0.1262
0.1590 0.0640 0.5320
0.4203 0.1262 0.8738
0.1590 0.4680 0.9360
0.6590 0.9360 0.4680
0.6590 0.5320 0.0640
0.4203 0.1262 0.2523
0.9203 0.8738 0.1262
0.9203 0.8738 0.7477
0.0721 0.6667 0.3333
0.1590 0.4680 0.5320
0.4203 0.7477 0.8738
0.3659 0.3934 0.1967
0.8659 0.1967 0.3934
0.8659 0.1967 0.8033
0.3659 0.8033 0.1967
0.8659 0.6066 0.8033
0.3659 0.8033 0.6066
```

=====

Entry 5:
Density functional theory data (PBE) for Tb5Pm8Tl after structural relaxation.

Values from the calculation:
**Space group**: C2 (5)
**Formation enthalpy at 0 K**: 113 meV/atom

Cell and atoms, written as POSCAR:
```
Tb5Pm8Tl
1.0
7.9841 -1.4506 -3.9089
-4.5099 7.5287 -0.9493
-1.1179 1.4506 8.8190
Pm Tb Tl
8 5 1
direct
0.8977 0.5668 0.5791
0.5054 0.6328 0.2260
0.1150 0.7012 0.0444
0.5197 0.9479 0.9370
0.0123 0.4332 0.3309
0.9890 0.0521 0.5718
0.5932 0.3672 0.8726
0.3432 0.2988 0.4138
0.9357 0.8237 0.2088
0.6845 0.7562 0.7299
0.9737 0.2438 0.9283
0.3850 0.1763 0.1119
0.5013 0.0000 0.5013
0.2943 0.5000 0.7943
```

=====

Entry 6:
Density functional theory data (PBE) for AlHgW2 after structural relaxation.

Values from the calculation:
**Space group**: Cmmm (65)
**Formation enthalpy at 0 K**: 540 meV/atom
**Offset from the most stable computed form**: 202 meV per atom

Cell and atoms, written as POSCAR:
```
AlHgW2
1.0
-4.3054 1.9229 -2.1337
0.4434 -5.1555 -0.1047
-1.2941 -0.1614 2.4658
Hg W Al
1 2 1
direct
0.0000 0.5000 0.5000
0.5000 0.5000 0.0000
0.0000 0.0000 0.0000
0.5000 0.0000 0.5000
```